(1)
Dy2Sc2CI4Br: relaxed, GGA-PBE.

Results
The offset from the most stable computed form is 75 meV/atom. Its total magnetization is 0.00 μB per atom. As for the space-group type: C2/m.

Cell and atoms, written as extended XYZ:
```
10
Lattice="9.819 -1.926 0.000 9.819 1.926 0.000 -1.684 0.000 8.023" Properties=species:S:1:pos:R:3 pbc="T T T"
I 1.696 0.000 6.461
I 15.536 0.000 5.245
I 16.259 0.000 1.562
I 2.418 0.000 2.778
Br 8.977 0.000 4.011
C 9.819 0.000 0.000
Dy 12.110 0.000 0.483
Dy 5.845 0.000 7.540
Sc -0.310 0.000 1.478
Sc -1.374 0.000 6.545
```

(2)
LiReNiPb: relaxed, GGA-PBE.

Results
Its total magnetization is 0.74 μB per atom. As for the space-group type: F-43m.

Cell and atoms, written as extended XYZ:
```
4
Lattice="0.000 3.138 3.138 3.138 0.000 3.138 3.138 3.138 0.000" Properties=species:S:1:pos:R:3 pbc="T T T"
Li 1.569 1.569 1.569
Re 3.138 3.138 3.138
Ni 4.708 4.708 4.708
Pb 0.000 0.000 0.000
```

(3)
Zr2Ta: relaxed, GGA-PBE.

Results
Its total magnetization is 0.00 μB per atom. As for the space-group type: P-62m.

Cell and atoms, written as extended XYZ:
```
6
Lattice="0.236 -4.726 2.548 4.060 -3.382 -0.980 2.729 2.178 3.789" Properties=species:S:1:pos:R:3 pbc="T T T"
Zr 2.864 -5.405 1.045
Zr 2.655 -0.060 1.626
Zr 1.589 -2.118 3.577
Zr 4.146 -2.662 2.048
Ta 0.000 0.000 0.000
Ta 1.432 -2.703 0.522
```

(4)
HoSc2Zn3CuAu2: relaxed, GGA-PBE.

Results
Its total magnetization is 0.00 μB per atom. As for the space-group type: Amm2.

Cell and atoms, written as extended XYZ:
```
9
Lattice="3.814 0.000 0.000 0.000 6.190 3.532 0.000 -6.190 3.532" Properties=species:S:1:pos:R:3 pbc="T T T"
Cu 0.000 0.000 7.026
Sc 0.000 -3.696 2.110
Sc 0.000 3.696 2.110
Au 1.907 -2.127 3.555
Au 1.907 2.127 3.555
Zn 1.907 -4.704 4.348
Zn 1.907 0.000 5.400
Zn 1.907 4.704 4.348
Ho 0.000 0.000 2.863
```

(5)
Ho2In: relaxed, GGA-PBE.

Results
Its total magnetization is 0.07 μB per atom. As for the space-group type: P-62m.

Cell and atoms, written as extended XYZ:
```
9
Lattice="8.877 0.000 0.000 -4.439 7.688 0.000 0.000 0.000 3.692" Properties=species:S:1:pos:R:3 pbc="T T T"
Ho -3.148 5.453 0.000
Ho 6.297 0.000 0.000
Ho 1.290 2.235 0.000
Ho 2.765 4.789 1.846
Ho 3.348 0.000 1.846
Ho -1.674 2.899 1.846
In 0.000 0.000 1.846
In 0.000 5.125 0.000
In 4.439 2.563 0.000
```

(6)
NaInSiNi: relaxed, GGA-PBE.

Results
The offset from the most stable computed form is 149 meV/atom. Its total magnetization is 0.00 μB per atom. As for the space-group type: F-43m.

Cell and atoms, written as extended XYZ:
```
4
Lattice="0.000 3.281 3.281 3.281 0.000 3.281 3.281 3.281 0.000" Properties=species:S:1:pos:R:3 pbc="T T T"
Ni 3.281 3.281 3.281
In 1.640 1.640 1.640
Na 4.921 4.921 4.921
Si 0.000 0.000 0.000
```

(7)
ScAlZnNi: relaxed, GGA-PBE.

Results
The offset from the most stable computed form is 0 meV/atom. Its total magnetization is 0.00 μB per atom. As for the space-group type: F-43m.

Cell and atoms, written as extended XYZ:
```
4
Lattice="2.800 -3.365 0.276 -1.282 -4.022 -1.190 1.605 -1.823 -3.652" Properties=species:S:1:pos:R:3 pbc="T T T"
Sc 1.562 -4.605 -2.283
Ni 0.781 -2.302 -1.142
Zn 2.342 -6.908 -3.425
Al 0.000 0.000 0.000
```

(8)
TaTlFePd: relaxed, GGA-PBE.

Results
The offset from the most stable computed form is 224 meV/atom. Its total magnetization is 0.60 μB per atom. As for the space-group type: F-43m.

Cell and atoms, written as extended XYZ:
```
4
Lattice="0.000 3.250 3.250 3.250 0.000 3.250 3.250 3.250 0.000" Properties=species:S:1:pos:R:3 pbc="T T T"
Pd 3.250 3.250 3.250
Fe 4.875 4.875 4.875
Ta 1.625 1.625 1.625
Tl 0.000 0.000 0.000
```

(9)
Cu12Sb4TeSe12: relaxed, GGA-PBE.

Results
As for the space-group type: I-43m.

Cell and atoms, written as extended XYZ:
```
29
Lattice="1.889 -6.689 -6.443 -0.805 -3.993 8.557 -8.123 4.338 -2.239" Properties=species:S:1:pos:R:3 pbc="T T T"
Sb 1.044 -3.697 -3.561
Sb -0.445 -2.207 4.729
Sb -4.490 2.398 -1.237
Sb -3.149 -2.838 -0.056
Cu -1.465 -0.552 -2.040
Cu -1.017 -5.929 -1.113
Cu 0.255 -2.510 0.497
Cu -6.830 0.264 4.833
Cu -1.690 -5.255 2.637
Cu 0.829 -8.172 1.617
Cu -2.098 0.081 1.485
Cu -2.846 -3.846 -3.812
Cu -4.193 -2.498 3.688
Cu -6.023 -0.415 0.989
Cu -5.349 -1.089 -2.761
Cu -4.769 -1.798 -6.641
Se -4.165 1.119 1.046
Se -3.492 0.446 -2.702
Se -1.121 -6.980 1.053
Se -2.422 -0.865 3.616
Se 0.720 -4.262 -1.006
Se -3.133 -4.920 -1.673
Se -4.868 -2.714 -4.475
Se -3.806 -4.246 2.074
Se -1.108 -2.180 -3.703
Se -6.248 -1.334 3.206
Se 0.079 -3.620 2.566
Se -5.634 -2.165 -0.623
Te 0.000 0.000 0.000
```

(10)
Be2NiAg: relaxed, GGA-PBE.

Results
Its total magnetization is 0.00 μB per atom. As for the space-group type: F-43m.

Cell and atoms, written as extended XYZ:
```
4
Lattice="1.926 1.125 3.344 -0.567 3.684 1.503 -2.040 0.479 3.429" Properties=species:S:1:pos:R:3 pbc="T T T"
Ni -0.511 3.966 6.207
Ag -0.341 2.644 4.138
Be -0.170 1.322 2.069
Be 0.000 0.000 0.000
```

(11)
PrNdInPd2: relaxed, GGA-PBE.

Results
Its total magnetization is 0.00 μB per atom. As for the space-group type: Amm2.

Cell and atoms, written as extended XYZ:
```
5
Lattice="3.854 0.000 0.000 0.000 2.104 7.579 0.000 -2.104 7.579" Properties=species:S:1:pos:R:3 pbc="T T T"
Pd 0.000 0.000 2.869
Pd 0.000 0.000 12.275
Nd 1.927 0.000 9.576
Pr 1.927 0.000 5.589
In 0.000 0.000 0.006
```

(12)
BeZn2: relaxed, GGA-PBE.

Results
As for the space-group type: P2_1/m.

Cell and atoms, written as extended XYZ:
```
24
Lattice="-9.323 0.277 6.770 0.556 -3.377 6.110 1.382 3.417 1.763" Properties=species:S:1:pos:R:3 pbc="T T T"
Zn -8.314 -1.109 8.666
Zn 0.122 -0.897 6.378
Zn -4.304 -1.549 6.377
Zn -3.794 -0.516 8.709
Zn -5.895 -2.040 8.575
Zn -4.863 0.951 6.704
Zn -6.327 0.524 8.678
Zn -0.487 -1.937 4.137
Zn -5.381 -0.130 4.471
Zn -1.462 -0.585 2.279
Zn -5.385 -1.007 10.908
Zn 0.540 1.127 2.127
Zn -7.744 -0.113 11.024
Zn -1.944 -2.444 6.261
Zn -3.362 -3.081 8.608
Zn -1.375 -1.448 8.619
Be -7.325 -2.634 10.847
Be -7.331 1.887 6.823
Be -8.597 -3.075 12.699
Be -2.914 -1.066 4.351
Be -2.363 0.077 6.438
Be -6.995 -0.501 6.454
Be -3.249 1.322 4.720
Be -1.092 0.518 4.586
```

no.,E (eV per formula unit)
1,-49.69
2,-21.18
3,-28.39
4,-36.21
5,-12.83
6,-13.71
7,-18.87
8,-26.11
9,-110.22
10,-15.21
11,-26.50
12,-5.80